No. 1
DFT (GGA-PBE) results for LiNiBiW after structural relaxation.

Cell lengths 6.370, 6.370, 6.370 Å; angles 90.00, 90.00, 90.00 degrees
Space group F-43m (No. 216)
Unique sites:
Li1 0.000 0.000 0.000 (multiplicity 4)
Ni1 0.000 0.000 0.500 (multiplicity 4)
Bi1 0.250 0.250 0.250 (multiplicity 4)
W1 0.250 0.250 0.750 (multiplicity 4)

## Properties
Magnetization, Bohr magnetons per cell: 10.517
E_tot, eV/atom: -5.437

No. 2
DFT (GGA-PBE) results for TaMo6W after structural relaxation.

Cell lengths 4.498, 4.498, 6.365 Å; angles 90.00, 90.00, 90.00 degrees
Space group P4/mmm (No. 123)
Unique sites:
Ta1 0.000 0.000 0.000 (multiplicity 1)
Mo1 0.000 0.000 0.500 (multiplicity 1)
Mo2 0.000 0.500 0.252 (multiplicity 4)
Mo3 0.500 0.500 0.000 (multiplicity 1)
W1 0.500 0.500 0.500 (multiplicity 1)

## Properties
ΔH_f (0 K), eV/atom: -0.0678
Magnetization, Bohr magnetons per cell: 0.005
E_tot, eV/atom: -11.305

No. 3
DFT (GGA-PBE) results for TbNd2Pb7 after structural relaxation.

Cell lengths 4.748, 26.165, 4.772 Å; angles 90.00, 90.00, 90.00 degrees
Space group Cmmm (No. 65)
Unique sites:
Tb1 0.000 0.000 0.000 (multiplicity 2)
Nd1 0.000 0.187 0.000 (multiplicity 4)
Pb1 0.000 0.095 0.500 (multiplicity 4)
Pb2 0.000 0.293 0.500 (multiplicity 4)
Pb3 0.000 0.406 0.000 (multiplicity 4)
Pb4 0.000 0.500 0.500 (multiplicity 2)

## Properties
Magnetization, Bohr magnetons per cell: 0.003
E_tot, eV/atom: -4.417

No. 4
DFT (GGA-PBE) results for KRbSbAu after structural relaxation.

Cell lengths 6.858, 10.873, 7.965 Å; angles 90.00, 90.00, 90.00 degrees
Space group Amm2 (No. 38)
Unique sites:
K1 0.000 0.170 0.000 (multiplicity 4)
Rb1 0.500 0.170 0.666 (multiplicity 4)
Sb1 0.000 0.000 0.591 (multiplicity 2)
Sb2 0.500 0.000 0.072 (multiplicity 2)
Au1 0.247 0.000 0.328 (multiplicity 4)

## Properties
E_tot, eV/atom: -2.871

No. 5
DFT (GGA-PBE) results for TaReBi after structural relaxation.

Cell lengths 6.395, 6.395, 6.395 Å; angles 90.00, 90.00, 90.00 degrees
Space group F-43m (No. 216)
Unique sites:
Ta1 0.000 0.000 0.000 (multiplicity 4)
Re1 0.250 0.250 0.750 (multiplicity 4)
Bi1 0.000 0.000 0.500 (multiplicity 4)

## Properties
Magnetization, Bohr magnetons per cell: 0.057
E_tot, eV/atom: -8.886

No. 6
DFT (GGA-PBE) results for CuGe2W after structural relaxation.

Cell lengths 6.293, 6.293, 6.293 Å; angles 90.00, 90.00, 90.00 degrees
Space group F-43m (No. 216)
Unique sites:
Cu1 0.000 0.000 0.000 (multiplicity 4)
Ge1 0.000 0.000 0.500 (multiplicity 4)
Ge2 0.250 0.250 0.250 (multiplicity 4)
W1 0.250 0.250 0.750 (multiplicity 4)

## Properties
Magnetization, Bohr magnetons per cell: 0.213
E_tot, eV/atom: -5.768

Which formula does entry 1 have? LiNiBiW